This record from Alexandria describes a relaxed structure of BaSi2Ni. The functional is PBE-GGA.

Calculated values
Magnetic moment   0.0 μB per formula unit
Space-group type   P4mm (99)
Calculated volume   78.6 Å³/cell
Uncorrected formation energy   19.6 meV per atom

```
BaSi2Ni
1.0
-0.8524 -3.1642 0.0142
2.1812 -0.5995 -2.3711
5.1225 -1.3573 5.0552
Ba Ni Si
1 1 2
Direct
0.0000 0.0000 0.5036
0.5000 0.5000 0.8606
0.5000 0.5000 0.1701
0.0000 0.0000 0.9658
```



This record from Alexandria describes a relaxed structure of CeSm2Zn6. The functional is PBE-GGA.

Calculated values
Magnetic moment   1.2 μB per formula unit
Space-group type   P6/mmm (191)
Calculated volume   189.9 Å³/cell
Energy of formation   -0.330 eV/atom

```
CeSm2Zn6
1.0
-2.8007 -1.7528 -1.1736
3.6371 -1.1765 -6.9227
0.8374 -5.2550 5.8498
Sm Zn Ce
2 6 1
Direct
0.0000 0.6667 0.3333
0.0000 0.3333 0.6667
0.5000 0.0000 0.6660
0.5000 0.3341 0.0000
0.5000 0.6659 0.0000
0.5000 0.6659 0.6659
0.5000 0.0000 0.3340
0.5000 0.3341 0.3340
0.0000 0.0000 0.0000
```



This record from Alexandria describes a relaxed structure of NdCuRh2. The functional is PBE-GGA.

Calculated values
Magnetic moment   0.0 μB per formula unit
Space-group type   P4/mmm (123)
Calculated volume   69.2 Å³/cell
Energy of formation   -0.304 eV/atom

```
NdCuRh2
1.0
4.0129 0.0000 0.0000
0.0000 4.1512 0.0000
0.0000 0.0000 4.1512
Rh Nd Cu
2 1 1
Direct
0.0000 0.5000 0.0000
0.0000 0.0000 0.5000
0.5000 0.5000 0.5000
0.5000 0.0000 0.0000
```



This record from Alexandria describes a relaxed structure of Ca2ZrZn. The functional is PBE-GGA.

Calculated values
Magnetic moment   0.0 μB per formula unit
Space-group type   P4mm (99)
Calculated volume   112.5 Å³/cell
Energy of formation   0.008 eV/atom

```
Ca2ZrZn
1.0
-1.3022 0.4240 -3.1992
-2.7720 -1.9129 0.8763
-4.4092 7.6778 2.8122
Ca Zn Zr
2 1 1
Direct
0.5000 0.5000 0.3138
0.0000 0.0000 0.9658
0.0000 0.0000 0.5317
0.5000 0.5000 0.6887
```



This record from Alexandria describes a relaxed structure of TiNiPt6. The functional is PBE-GGA.

Calculated values
Magnetic moment   0.4 μB per formula unit
Space-group type   P4/mmm (123)
Calculated volume   119.9 Å³/cell
Energy of formation   -0.498 eV/atom

```
TiNiPt6
1.0
-1.4309 2.3951 2.7114
-3.1520 -4.1199 1.9757
4.0875 -1.4703 3.4558
Pt Ni Ti
6 1 1
Direct
0.0000 0.7499 0.2501
0.0000 0.7501 0.7501
0.0000 0.2501 0.7499
0.0000 0.2499 0.2499
0.5000 0.5000 0.0000
0.5000 0.0000 0.5000
0.5000 0.5000 0.5000
0.5000 0.0000 0.0000
```



This record from Alexandria describes a relaxed structure of HoPuHf2N4. The functional is PBE-GGA.

Calculated values
Magnetic moment   5.0 μB per formula unit
Space-group type   P2/m (10)
Calculated volume   104.4 Å³/cell
Uncorrected formation energy   -1686.7 meV per atom

```
HoPuHf2N4
1.0
3.3115 0.0000 0.0000
0.0000 5.8233 -0.1495
0.0000 2.0147 5.3596
N Hf Pu Ho
4 2 1 1
Direct
0.0000 0.2249 0.2595
0.5000 0.2251 0.7563
0.0000 0.7751 0.7405
0.5000 0.7749 0.2437
0.5000 0.0000 0.5000
0.0000 0.0000 0.0000
0.5000 0.5000 0.0000
0.0000 0.5000 0.5000
```



This record from Alexandria describes a relaxed structure of CaLa4Tl. The functional is PBE-GGA.

Calculated values
Magnetic moment   0.0 μB per formula unit
Space-group type   F-43m (216)
Calculated volume   217.3 Å³/cell
Energy of formation   0.140 eV/atom

```
CaLa4Tl
1.0
0.0000 4.7719 4.7719
4.7719 0.0000 4.7719
4.7719 4.7719 0.0000
Ca La Tl
1 4 1
Direct
0.0000 0.0000 0.0000
0.3776 0.3776 0.3776
0.3776 0.8673 0.3776
0.3776 0.3776 0.8673
0.8673 0.3776 0.3776
0.7500 0.7500 0.7500
```



This record from Alexandria describes a relaxed structure of MnZn2CuHg. The functional is PBE-GGA.

Calculated values
Magnetic moment   4.4 μB per formula unit
Space-group type   P4/mmm (123)
Calculated volume   103.0 Å³/cell
Energy of formation   0.565 eV/atom

```
MnZn2CuHg
1.0
4.5749 0.0000 0.0000
0.0000 4.9221 0.0000
0.0000 0.0000 4.5749
Cu Zn Mn Hg
1 2 1 1
Direct
0.0000 0.0000 0.0000
0.0000 0.0000 0.5000
0.5000 0.0000 0.0000
0.5000 0.5000 0.5000
0.0000 0.5000 0.0000
```